Material: Ba2YI
Method: DFT, PBE-GGA
State: optimized geometry

- Total moment: 0.00 Bohr magnetons per cell
- Polymorph energy (0 for the lowest one): 200.0 meV per atom
- Total energy: -2.9920 eV/atom
- Raw formation energy: -0.027 eV/atom
- Fermi-level density of states: 34.0 states/eV per cell

```
data_Ba2YI
_chemical_formula_sum 'Ba8 Y4 I4'
_space_group_name_H-M_alt 'F m -3 m'
_space_group_IT_number 225
_space_group_name_Hall '-F 4 2 3'
_cell_length_a 8.9951
_cell_length_b 8.9951
_cell_length_c 8.9951
_cell_angle_alpha 90.00
_cell_angle_beta 90.00
_cell_angle_gamma 90.00
loop_
_atom_site_label
_atom_site_type_symbol
_atom_site_fract_x
_atom_site_fract_y
_atom_site_fract_z
_atom_site_occupancy
Ba1 Ba 0.2500 0.2500 0.2500 1
Y1 Y 0.0000 0.0000 0.0000 1
I1 I 0.0000 0.0000 0.5000 1
```